3
Lattice="-1.794 1.794 7.702 1.794 -1.794 7.702 1.794 1.794 -7.702" Properties=species:S:1:pos:R:3 comment="CaErLu, optimized geometry, DFT PBE-GGA" volume_a3_per_fu=99 e_form_mev_per_atom=93 space_group="I4mm (107)" polymorph_energy_mev_per_atom=0 m_tot_mub_per_fu=0.001 pbc="T T T"
Ca 0.000 0.000 0.000
Er 0.000 0.000 4.951
Lu 0.000 0.000 10.419



4
Lattice="0.000 3.921 3.921 3.921 0.000 3.921 3.921 3.921 0.000" Properties=species:S:1:pos:R:3 comment="CaErLuMg, optimized geometry, DFT PBE-GGA" volume_a3_per_fu=121 e_form_mev_per_atom=93 space_group="F-43m (216)" m_tot_mub_per_fu=0.000 pbc="T T T"
Ca 0.000 0.000 0.000
Er 3.921 3.921 3.921
Lu 1.960 1.960 1.960
Mg 5.881 5.881 5.881



4
Lattice="0.000 4.057 4.057 4.057 0.000 4.057 4.057 4.057 0.000" Properties=species:S:1:pos:R:3 comment="CaNdErLu, optimized geometry, DFT PBE-GGA" volume_a3_per_fu=134 e_form_mev_per_atom=139 space_group="F-43m (216)" m_tot_mub_per_fu=0.001 pbc="T T T"
Ca 0.000 0.000 0.000
Nd 6.085 6.085 6.085
Er 2.028 2.028 2.028
Lu 4.057 4.057 4.057



4
Lattice="0.000 4.049 4.049 4.049 0.000 4.049 4.049 4.049 0.000" Properties=species:S:1:pos:R:3 comment="CaPmErLu, optimized geometry, DFT PBE-GGA" volume_a3_per_fu=133 e_form_mev_per_atom=145 space_group="F-43m (216)" m_tot_mub_per_fu=0.000 pbc="T T T"
Ca 0.000 0.000 0.000
Pm 6.073 6.073 6.073
Er 2.024 2.024 2.024
Lu 4.049 4.049 4.049



4
Lattice="0.000 4.042 4.042 4.042 0.000 4.042 4.042 4.042 0.000" Properties=species:S:1:pos:R:3 comment="CaSmErLu, optimized geometry, DFT PBE-GGA" volume_a3_per_fu=132 e_form_mev_per_atom=150 space_group="F-43m (216)" m_tot_mub_per_fu=0.001 pbc="T T T"
Ca 0.000 0.000 0.000
Sm 2.021 2.021 2.021
Er 6.063 6.063 6.063
Lu 4.042 4.042 4.042



4
Lattice="0.000 3.895 3.895 3.895 0.000 3.895 3.895 3.895 0.000" Properties=species:S:1:pos:R:3 comment="CaErLuTl, optimized geometry, DFT PBE-GGA" volume_a3_per_fu=118 e_form_mev_per_atom=0 space_group="F-43m (216)" m_tot_mub_per_fu=0.000 pbc="T T T"
Ca 0.000 0.000 0.000
Er 3.895 3.895 3.895
Lu 1.947 1.947 1.947
Tl 5.842 5.842 5.842



6
Lattice="5.334 0.000 0.000 0.000 5.334 0.000 0.000 0.000 7.677" Properties=species:S:1:pos:R:3 comment="CaErMg, optimized geometry, DFT PBE-GGA" volume_a3_per_fu=109 e_form_mev_per_atom=339 space_group="P4/nmm (129)" polymorph_energy_mev_per_atom=371 m_tot_mub_per_fu=0.000 pbc="T T T"
Ca 1.333 4.000 0.000
Ca 4.000 1.333 0.000
Er 1.333 4.000 3.838
Er 4.000 1.333 3.838
Mg 1.333 1.333 2.040
Mg 4.000 4.000 5.637



4
Lattice="3.736 0.000 0.000 0.000 3.736 0.000 0.000 0.000 8.960" Properties=species:S:1:pos:R:3 comment="CaEr2Mg, optimized geometry, DFT PBE-GGA" volume_a3_per_fu=125 e_form_mev_per_atom=45 space_group="P4/mmm (123)" polymorph_energy_mev_per_atom=0 m_tot_mub_per_fu=0.000 pbc="T T T"
Ca 0.000 0.000 0.000
Er 1.868 1.868 2.672
Er 1.868 1.868 6.287
Mg 0.000 0.000 4.480



20
Lattice="9.248 0.000 0.000 0.000 5.315 0.000 -3.124 0.000 10.871" Properties=species:S:1:pos:R:3 comment="CaEr3Mg6, optimized geometry, DFT PBE-GGA" volume_a3_per_fu=267 e_form_mev_per_atom=-47 space_group="P2_1/m (11)" m_tot_mub_per_fu=0.006 pbc="T T T"
Ca -0.755 1.329 4.287
Ca 6.879 3.986 6.584
Er -0.761 1.329 10.831
Er 0.797 3.986 8.727
Er 2.351 1.329 6.572
Er 3.773 3.986 4.299
Er 5.328 1.329 2.144
Er 6.886 3.986 0.040
Mg -2.367 3.986 9.866
Mg 0.743 3.986 2.137
Mg -0.764 1.329 7.639
Mg 0.784 3.986 5.428
Mg 2.268 1.329 3.187
Mg 3.759 3.986 1.100
Mg 2.366 1.329 9.771
Mg 3.857 3.986 7.684
Mg 5.341 1.329 5.443
Mg 6.889 3.986 3.233
Mg 5.382 1.329 8.734
Mg 8.492 1.329 1.005



4
Lattice="0.000 4.049 4.049 4.049 0.000 4.049 4.049 4.049 0.000" Properties=species:S:1:pos:R:3 comment="Ca2ErMg, optimized geometry, DFT PBE-GGA" volume_a3_per_fu=133 e_form_mev_per_atom=130 space_group="Fm-3m (225)" polymorph_energy_mev_per_atom=46 m_tot_mub_per_fu=0.000 pbc="T T T"
Ca 2.024 2.024 2.024
Ca 6.073 6.073 6.073
Er 0.000 0.000 0.000
Mg 4.049 4.049 4.049



10
Lattice="3.699 0.000 0.000 0.000 5.531 0.000 -1.855 0.000 14.224" Properties=species:S:1:pos:R:3 comment="CaEr2Mg2, optimized geometry, DFT PBE-GGA" volume_a3_per_fu=146 e_form_mev_per_atom=-25 space_group="P2_1/m (11)" m_tot_mub_per_fu=0.000 pbc="T T T"
Ca 0.001 1.383 4.312
Ca 1.843 4.148 9.912
Er 0.001 4.148 1.209
Er -0.002 4.148 6.679
Er 1.846 1.383 7.545
Er 1.844 1.383 13.015
Mg -0.008 1.383 10.288
Mg -0.008 4.148 12.750
Mg 1.853 1.383 1.474
Mg 1.852 4.148 3.936



4
Lattice="1.780 1.028 12.436 -1.780 1.028 12.436 0.000 -2.055 12.436" Properties=species:S:1:pos:R:3 comment="Ca2ErMg, optimized geometry, DFT PBE-GGA" volume_a3_per_fu=136 e_form_mev_per_atom=239 space_group="R-3m (166)" polymorph_energy_mev_per_atom=155 m_tot_mub_per_fu=0.639 pbc="T T T"
Ca 0.000 0.000 3.402
Ca 0.000 0.000 33.905
Er 0.000 0.000 0.000
Mg 0.000 0.000 18.654